# 1
First-principles (PBE) data for a relaxed structure of BiWC2, as listed in Alexandria via LeMat-Bulk.

Cell: 5.2754 5.2754 6.2626 Å, 65.09 65.09 90.00°
Sites, in units of the cell vectors:
C 0.5275 0.1250 0.2500
C 0.2225 0.6250 0.2500
C 0.3750 0.4725 0.7500
C 0.8750 0.7775 0.7500
Bi 0.0000 0.0000 0.0000
Bi 0.7500 0.2500 0.5000
W 0.5000 0.5000 0.0000
W 0.2500 0.7500 0.5000

## Properties
The space group is I-42d. As for the energy of formation: 984 meV/atom.

=====

# 2
First-principles (PBE) data for a relaxed structure of LaMgH6Ru, as listed in Alexandria via LeMat-Bulk.

Cell: 4.7217 4.7217 4.6075 Å, 90.00 90.00 60.00°
Sites, in units of the cell vectors:
La 0.0000 0.0000 0.0000
Mg 0.6666 0.6667 0.5000
H 0.0388 0.4798 0.2316
H 0.4796 0.0389 0.7683
H 0.4815 0.4796 0.7683
H 0.0388 0.4815 0.7684
H 0.4798 0.4814 0.2316
H 0.4814 0.0388 0.2316
Ru 0.3333 0.3333 0.5000

## Properties
The calculation puts the total DFT energy (no corrections) at -4.391 eV/atom. The space group is P-6m2.

=====

no.,spin magnetization (μB per atom)
1,0.0000
2,0.0000